Li4AsRh: relaxed, PBE.

```
data_Li4AsRh
_chemical_formula_sum 'Li4 As1 Rh1'
_symmetry_space_group_name_H-M 'P 1'
_symmetry_Int_Tables_number 1
_symmetry_space_group_name_Hall 'P 1'
_cell_length_a 4.756
_cell_length_b 4.756
_cell_length_c 4.756
_cell_angle_alpha 60.00
_cell_angle_beta 60.00
_cell_angle_gamma 60.00
loop_
_atom_site_label
_atom_site_type_symbol
_atom_site_fract_x
_atom_site_fract_y
_atom_site_fract_z
_atom_site_occupancy
As1 As 0.000 0.000 0.000 1
Rh1 Rh 0.750 0.750 0.750 1
Li1 Li 0.377 0.377 0.870 1
Li2 Li 0.377 0.870 0.377 1
Li3 Li 0.870 0.377 0.377 1
Li4 Li 0.377 0.377 0.377 1
```

Summary:
Uncorrected energy: -3.4367 eV per atom
E_form: -0.161 eV/atom

LiAsRh: relaxed, PBE.

```
data_LiAsRh
_chemical_formula_sum 'Li2 As2 Rh2'
_symmetry_space_group_name_H-M 'P 1'
_symmetry_Int_Tables_number 1
_symmetry_space_group_name_Hall 'P 1'
_cell_length_a 3.201
_cell_length_b 3.201
_cell_length_c 10.700
_cell_angle_alpha 98.60
_cell_angle_beta 98.60
_cell_angle_gamma 90.00
loop_
_atom_site_label
_atom_site_type_symbol
_atom_site_fract_x
_atom_site_fract_y
_atom_site_fract_z
_atom_site_occupancy
Rh1 Rh 0.703 0.703 0.406 1
Rh2 Rh 0.297 0.297 0.594 1
As1 As 0.848 0.848 0.696 1
As2 As 0.152 0.152 0.304 1
Li1 Li 0.575 0.575 0.150 1
Li2 Li 0.425 0.425 0.850 1
```

Summary:
Uncorrected energy: -4.9842 eV per atom
E_form: -0.346 eV/atom

Q: Among the records above, which one has the highest E_form?
A: Li4AsRh